Entry 1:
Si2P3RhO13: single point on PBEsol structure, SCAN.

Output
**Magnetization**: 0.000 μB/atom
**Formation energy without anion corrections**: -2.405 eV per atom
**Volume**: 13.28 A^3/atom
**Space group**: P321, No. 150

Cell: 8.138 8.138 8.800 Å, 90.00 90.00 120.00°
Sites, in units of the cell vectors:
1 O 0.521 0.852 0.930
2 O 0.669 0.148 0.070
3 O 0.331 0.479 0.930
4 O 0.476 0.154 0.568
5 O 0.667 0.333 0.315
6 O 0.236 0.098 0.373
7 O 0.138 0.902 0.627
8 O 0.154 0.476 0.432
9 O 0.148 0.669 0.930
10 O 0.679 0.524 0.568
11 O 0.852 0.521 0.070
12 O 0.862 0.764 0.373
13 O 0.103 0.862 0.123
14 O 0.479 0.331 0.070
15 O 0.138 0.241 0.123
16 O 0.759 0.897 0.123
17 O 0.846 0.321 0.568
18 O 0.764 0.862 0.627
19 O 0.098 0.236 0.627
20 O 0.333 0.667 0.685
21 O 0.902 0.138 0.373
22 O 0.321 0.846 0.432
23 O 0.897 0.759 0.877
24 O 0.241 0.138 0.877
25 O 0.524 0.679 0.432
26 O 0.862 0.103 0.877
27 Si 0.333 0.667 0.503
28 Si 0.667 0.333 0.497
29 Si 0.667 0.333 0.132
30 Si 0.333 0.667 0.868
31 P 0.000 0.717 0.000
32 P 0.000 0.278 0.500
33 P 0.717 0.000 0.000
34 P 0.722 0.722 0.500
35 P 0.278 0.000 0.500
36 P 0.283 0.283 0.000
37 Rh 0.000 0.000 0.246
38 Rh 0.000 0.000 0.754



Entry 2:
TiP2RhO: single point on PBEsol structure, SCAN.

Output
**Magnetization**: 0.000 μB/atom
**Formation energy without anion corrections**: -0.247 eV per atom
**Volume**: 15.98 A^3/atom
**Space group**: P4/mmm, No. 123

Cell: 3.551 4.744 4.744 Å, 90.00 90.00 90.00°
Sites, in units of the cell vectors:
1 O 0.500 0.000 0.000
2 Rh 0.500 0.500 0.500
3 P 0.000 0.500 0.000
4 P 0.000 0.000 0.500
5 Ti 0.000 0.000 0.000



Entry 3:
TiPRhO2: single point on PBEsol structure, SCAN.

Output
**Magnetization**: 0.242 μB/atom
**Formation energy without anion corrections**: -1.114 eV per atom
**Volume**: 14.05 A^3/atom
**Space group**: P4/mmm, No. 123

Cell: 3.640 3.640 5.301 Å, 90.00 90.00 90.00°
Each line ends with the local moment (μB).
Sites, in units of the cell vectors:
1 Rh 0.500 0.500 0.500  0.86
2 Ti 0.000 0.000 0.000  -0.04
3 O 0.500 0.000 0.000  0.13
4 O 0.000 0.500 0.000  0.13
5 P 0.000 0.000 0.500  0.03



Entry 4:
P3RuO9: single point on PBEsol structure, SCAN.

Output
**Magnetization**: 0.077 μB/atom
**Excess energy over the best structure of this formula in the dataset**: 11 meV per atom
**Formation energy without anion corrections**: -2.067 eV per atom
**Volume**: 15.07 A^3/atom
**Space group**: P2_1/c, No. 14

Cell: 6.322 8.405 15.374 Å, 90.00 90.00 106.43°
Each line ends with the local moment (μB).
Sites, in units of the cell vectors:
1 O 0.559 0.594 0.113  0.01
2 O 0.939 0.872 0.151  0.02
3 O 0.939 0.372 0.349  0.02
4 O 0.825 0.877 0.376  0.02
5 O 0.462 0.616 0.652  0.00
6 O 0.801 0.858 0.663  0.01
7 O 0.462 0.116 0.848  0.00
8 O 0.818 0.099 0.235  0.01
9 O 0.818 0.599 0.265  0.01
10 O 0.825 0.377 0.124  0.02
11 O 0.059 0.344 0.992  0.01
12 O 0.168 0.905 0.927  0.00
13 O 0.832 0.095 0.073  0.00
14 O 0.538 0.384 0.348  0.00
15 O 0.538 0.884 0.152  0.00
16 O 0.636 0.250 0.984  0.00
17 O 0.061 0.128 0.849  0.02
18 O 0.059 0.844 0.508  0.01
19 O 0.199 0.642 0.163  0.01
20 O 0.559 0.094 0.387  0.01
21 O 0.941 0.656 0.008  0.01
22 O 0.175 0.123 0.624  0.02
23 O 0.941 0.156 0.492  0.01
24 O 0.168 0.405 0.573  0.00
25 O 0.061 0.628 0.651  0.02
26 O 0.801 0.358 0.837  0.01
27 O 0.364 0.250 0.484  0.00
28 O 0.182 0.901 0.765  0.01
29 O 0.199 0.142 0.337  0.01
30 O 0.364 0.750 0.016  0.00
31 O 0.441 0.406 0.887  0.01
32 O 0.175 0.623 0.876  0.02
33 O 0.182 0.401 0.735  0.01
34 O 0.441 0.906 0.613  0.01
35 O 0.832 0.595 0.427  0.00
36 O 0.636 0.750 0.516  0.00
37 P 0.590 0.295 0.886  0.00
38 P 0.851 0.281 0.044  0.00
39 P 0.206 0.015 0.840  0.00
40 P 0.851 0.781 0.456  0.00
41 P 0.794 0.485 0.340  0.00
42 P 0.149 0.719 0.956  0.00
43 P 0.410 0.205 0.386  0.00
44 P 0.410 0.705 0.114  0.00
45 P 0.590 0.795 0.614  0.00
46 P 0.206 0.515 0.660  0.00
47 P 0.149 0.219 0.544  0.00
48 P 0.794 0.985 0.160  0.00
49 Ru 0.881 0.124 0.363  0.84
50 Ru 0.881 0.624 0.137  0.84
51 Ru 0.119 0.376 0.863  0.84
52 Ru 0.119 0.876 0.637  0.84



Entry 5:
P3RuO9: single point on PBEsol structure, SCAN.

Output
**Magnetization**: 0.077 μB/atom
**Excess energy over the best structure of this formula in the dataset**: 10 meV per atom
**Formation energy without anion corrections**: -2.068 eV per atom
**Volume**: 12.48 A^3/atom
**Space group**: C2/c, No. 15

Cell: 6.508 7.341 8.303 Å, 73.73 66.93 63.69°
Each line ends with the local moment (μB).
Sites, in units of the cell vectors:
1 O 0.611 0.058 0.667  0.03
2 O 0.401 0.775 0.678  0.00
3 O 0.664 0.558 0.167  0.03
4 O 0.969 0.290 0.911  0.03
5 O 0.854 0.725 0.822  0.00
6 O 0.752 0.437 0.679  0.00
7 O 0.146 0.275 0.178  0.00
8 O 0.868 0.063 0.821  0.00
9 O 0.171 0.210 0.589  0.03
10 O 0.389 0.942 0.333  0.03
11 O 0.500 0.000 0.000  0.00
12 O 0.500 0.500 0.500  0.00
13 O 0.248 0.563 0.321  0.00
14 O 0.599 0.225 0.322  0.00
15 O 0.132 0.937 0.179  0.00
16 O 0.031 0.710 0.089  0.03
17 O 0.829 0.790 0.411  0.03
18 O 0.336 0.442 0.833  0.03
19 Ru 0.500 0.000 0.500  0.82
20 Ru 0.000 0.500 0.000  0.82
21 P 0.521 0.451 0.320  0.00
22 P 0.479 0.549 0.680  0.00
23 P 0.709 0.951 0.820  0.00
24 P 0.047 0.750 0.250  0.00
25 P 0.291 0.049 0.180  0.00
26 P 0.953 0.250 0.750  0.00



Entry 6:
P3RuO9: single point on PBEsol structure, SCAN.

Output
**Magnetization**: 0.077 μB/atom
**Excess energy over the best structure of this formula in the dataset**: 0 meV per atom
**Formation energy without anion corrections**: -2.078 eV per atom
**Volume**: 14.15 A^3/atom
**Space group**: P-1, No. 2

Cell: 5.091 7.087 10.319 Å, 98.20 92.21 92.11°
Each line ends with the local moment (μB).
Sites, in units of the cell vectors:
1 O 0.518 0.830 0.765  0.00
2 O 0.457 0.856 0.305  0.00
3 O 0.482 0.170 0.235  0.00
4 O 0.091 0.263 0.100  0.03
5 O 0.909 0.737 0.900  0.03
6 O 0.383 0.510 0.235  0.00
7 O 0.617 0.490 0.765  0.00
8 O 0.809 0.927 0.154  0.03
9 O 0.191 0.073 0.846  0.03
10 O 0.208 0.363 0.625  0.03
11 O 0.792 0.637 0.375  0.03
12 O 0.328 0.881 0.067  0.00
13 O 0.334 0.656 0.475  0.00
14 O 0.086 0.297 0.352  0.03
15 O 0.672 0.119 0.933  0.00
16 O 0.666 0.344 0.525  0.00
17 O 0.914 0.703 0.648  0.03
18 O 0.543 0.144 0.695  0.00
19 Ru 0.000 0.000 0.000  0.82
20 Ru 0.000 0.500 0.500  0.84
21 P 0.763 0.694 0.769  0.00
22 P 0.522 0.952 0.178  0.00
23 P 0.478 0.048 0.822  0.00
24 P 0.501 0.341 0.642  0.00
25 P 0.499 0.659 0.358  0.00
26 P 0.237 0.306 0.231  0.00



Entry 7:
PRuSO2: single point on PBEsol structure, SCAN.

Output
**Magnetization**: 0.000 μB/atom
**Formation energy without anion corrections**: -0.323 eV per atom
**Volume**: 13.80 A^3/atom
**Space group**: P4/mmm, No. 123

Cell: 3.619 3.619 5.269 Å, 90.00 90.00 90.00°
Sites, in units of the cell vectors:
1 P 0.000 0.000 0.500
2 O 0.000 0.500 0.000
3 O 0.500 0.000 0.000
4 S 0.500 0.500 0.500
5 Ru 0.000 0.000 0.000



Entry 8:
ScP2RuO: single point on PBEsol structure, SCAN.

Output
**Magnetization**: 0.000 μB/atom
**Formation energy without anion corrections**: -0.447 eV per atom
**Volume**: 16.24 A^3/atom
**Space group**: P4/mmm, No. 123

Cell: 3.602 4.748 4.748 Å, 90.00 90.00 90.00°
Sites, in units of the cell vectors:
1 Sc 0.500 0.500 0.500
2 P 0.000 0.500 0.000
3 P 0.000 0.000 0.500
4 Ru 0.000 0.000 0.000
5 O 0.500 0.000 0.000



Entry 9:
PRuSeO2: single point on PBEsol structure, SCAN.

Output
**Magnetization**: 0.000 μB/atom
**Excess energy over the best structure of this formula in the dataset**: 0 meV per atom
**Formation energy without anion corrections**: -0.364 eV per atom
**Volume**: 14.27 A^3/atom
**Space group**: P4/mmm, No. 123

Cell: 3.660 3.660 5.325 Å, 90.00 90.00 90.00°
Sites, in units of the cell vectors:
1 P 0.000 0.000 0.500
2 O 0.500 0.000 0.000
3 O 0.000 0.500 0.000
4 Se 0.500 0.500 0.500
5 Ru 0.000 0.000 0.000



Entry 10:
PRuSeO2: single point on PBEsol structure, SCAN.

Output
**Magnetization**: 0.445 μB/atom
**Excess energy over the best structure of this formula in the dataset**: 770 meV per atom
**Formation energy without anion corrections**: 0.406 eV per atom
**Volume**: 13.81 A^3/atom
**Space group**: P4/mmm, No. 123

Cell: 3.615 3.615 5.281 Å, 90.00 90.00 90.00°
Each line ends with the local moment (μB).
Sites, in units of the cell vectors:
1 O 0.000 0.500 0.000  0.03
2 O 0.500 0.000 0.000  0.03
3 Ru 0.500 0.500 0.500  1.92
4 P 0.000 0.000 0.500  0.03
5 Se 0.000 0.000 0.000  0.02



Entry 11:
SiP3RuO11: single point on PBEsol structure, SCAN.

Output
**Magnetization**: 0.063 μB/atom
**Formation energy without anion corrections**: -2.271 eV per atom
**Volume**: 12.21 A^3/atom
**Space group**: R-3c, No. 167

Cell: 8.291 8.291 13.968 Å, 72.73 72.73 60.00°
Each line ends with the local moment (μB).
Sites, in units of the cell vectors:
1 Si 0.540 0.540 0.380  0.00
2 Si 0.460 0.460 0.620  0.00
3 Si 0.960 0.960 0.120  0.00
4 Si 0.040 0.040 0.880  0.00
5 O 0.992 0.348 0.619  0.02
6 O 0.040 0.992 0.619  0.02
7 O 0.599 0.712 0.340  0.00
8 O 0.212 0.099 0.840  0.00
9 O 0.348 0.040 0.619  0.02
10 O 0.781 0.460 0.935  0.02
11 O 0.849 0.212 0.840  0.00
12 O 0.750 0.543 0.750  0.00
13 O 0.281 0.324 0.435  0.02
14 O 0.000 0.000 0.000  0.00
15 O 0.151 0.788 0.160  0.00
16 O 0.349 0.599 0.340  0.00
17 O 0.043 0.250 0.250  0.00
18 O 0.676 0.040 0.565  0.02
19 O 0.960 0.008 0.381  0.02
20 O 0.540 0.176 0.065  0.02
21 O 0.457 0.043 0.250  0.00
22 O 0.901 0.151 0.160  0.00
23 O 0.508 0.460 0.881  0.02
24 O 0.324 0.960 0.435  0.02
25 O 0.651 0.401 0.660  0.00
26 O 0.957 0.750 0.750  0.00
27 O 0.250 0.457 0.250  0.00
28 O 0.500 0.500 0.500  0.00
29 O 0.540 0.848 0.119  0.02
30 O 0.719 0.676 0.565  0.02
31 O 0.176 0.219 0.065  0.02
32 O 0.401 0.288 0.660  0.00
33 O 0.848 0.492 0.119  0.02
34 O 0.099 0.849 0.840  0.00
35 O 0.460 0.824 0.935  0.02
36 O 0.492 0.540 0.119  0.02
37 O 0.652 0.960 0.381  0.02
38 O 0.712 0.349 0.340  0.00
39 O 0.824 0.781 0.935  0.02
40 O 0.288 0.651 0.660  0.00
41 O 0.219 0.540 0.065  0.02
42 O 0.543 0.957 0.750  0.00
43 O 0.960 0.281 0.435  0.02
44 O 0.152 0.508 0.881  0.02
45 O 0.788 0.901 0.160  0.00
46 O 0.008 0.652 0.381  0.02
47 O 0.040 0.719 0.565  0.02
48 O 0.460 0.152 0.881  0.02
49 P 0.008 0.711 0.860  0.00
50 P 0.921 0.211 0.360  0.00
51 P 0.789 0.492 0.640  0.00
52 P 0.421 0.008 0.860  0.00
53 P 0.579 0.992 0.140  0.00
54 P 0.289 0.579 0.140  0.00
55 P 0.508 0.921 0.360  0.00
56 P 0.711 0.421 0.860  0.00
57 P 0.079 0.789 0.640  0.00
58 P 0.492 0.079 0.640  0.00
59 P 0.992 0.289 0.140  0.00
60 P 0.211 0.508 0.360  0.00
61 Ru 0.158 0.158 0.525  0.84
62 Ru 0.342 0.342 0.975  0.84
63 Ru 0.842 0.842 0.475  0.84
64 Ru 0.658 0.658 0.025  0.84



Entry 12:
TcP2RuO: single point on PBEsol structure, SCAN.

Output
**Magnetization**: 0.563 μB/atom
**Formation energy without anion corrections**: 0.418 eV per atom
**Volume**: 15.39 A^3/atom
**Space group**: P4/mmm, No. 123

Cell: 3.538 4.664 4.664 Å, 90.00 90.00 90.00°
Each line ends with the local moment (μB).
Sites, in units of the cell vectors:
1 P 0.000 0.000 0.500  -0.12
2 P 0.000 0.500 0.000  -0.12
3 O 0.500 0.000 0.000  0.05
4 Ru 0.000 0.000 0.000  -0.13
5 Tc 0.500 0.500 0.500  3.07



Entry 13:
PRuWO2: single point on PBEsol structure, SCAN.

Output
**Magnetization**: 0.441 μB/atom
**Formation energy without anion corrections**: -0.577 eV per atom
**Volume**: 14.36 A^3/atom
**Space group**: P4/mmm, No. 123

Cell: 3.722 3.722 5.183 Å, 90.00 90.00 90.00°
Each line ends with the local moment (μB).
Sites, in units of the cell vectors:
1 O 0.000 0.500 0.000  0.02
2 O 0.500 0.000 0.000  0.02
3 Ru 0.500 0.500 0.500  1.94
4 P 0.000 0.000 0.500  0.02
5 W 0.000 0.000 0.000  0.03



Entry 14:
P4S3O6: single point on PBEsol structure, SCAN.

Output
**Magnetization**: 0.000 μB/atom
**Formation energy without anion corrections**: -1.460 eV per atom
**Volume**: 20.24 A^3/atom
**Space group**: P2_1/c, No. 14

Cell: 8.396 9.884 12.759 Å, 83.72 90.00 90.00°
Sites, in units of the cell vectors:
1 P 0.950 0.157 0.864
2 P 0.102 0.902 0.348
3 P 0.398 0.402 0.348
4 P 0.209 0.063 0.745
5 P 0.550 0.657 0.864
6 P 0.898 0.098 0.652
7 P 0.545 0.374 0.818
8 P 0.291 0.563 0.745
9 P 0.050 0.843 0.136
10 P 0.602 0.598 0.652
11 P 0.709 0.437 0.255
12 P 0.455 0.626 0.182
13 P 0.045 0.126 0.182
14 P 0.955 0.874 0.818
15 P 0.450 0.343 0.136
16 P 0.791 0.937 0.255
17 S 0.607 0.776 0.964
18 S 0.107 0.724 0.036
19 S 0.713 0.655 0.528
20 S 0.787 0.155 0.528
21 S 0.428 0.081 0.717
22 S 0.893 0.276 0.964
23 S 0.393 0.224 0.036
24 S 0.072 0.581 0.717
25 S 0.928 0.419 0.283
26 S 0.213 0.845 0.472
27 S 0.287 0.345 0.472
28 S 0.572 0.919 0.283
29 O 0.644 0.585 0.211
30 O 0.908 0.894 0.354
31 O 0.370 0.554 0.293
32 O 0.863 0.843 0.168
33 O 0.144 0.915 0.789
34 O 0.865 0.188 0.750
35 O 0.856 0.085 0.211
36 O 0.635 0.688 0.750
37 O 0.414 0.502 0.105
38 O 0.630 0.446 0.707
39 O 0.870 0.946 0.707
40 O 0.130 0.054 0.293
41 O 0.586 0.498 0.895
42 O 0.592 0.394 0.354
43 O 0.408 0.606 0.646
44 O 0.365 0.312 0.250
45 O 0.086 0.002 0.105
46 O 0.092 0.106 0.646
47 O 0.135 0.812 0.250
48 O 0.637 0.343 0.168
49 O 0.914 0.998 0.895
50 O 0.137 0.157 0.832
51 O 0.363 0.657 0.832
52 O 0.356 0.415 0.789